Entry 1:
This record from Alexandria via LeMat-Bulk describes Er3HfZr2N6 after structural relaxation. The functional is PBE-GGA.

Cell: 5.7379 5.7379 5.7855 Å, 99.56 99.56 119.91°
Sites, in units of the cell vectors:
Er  0.1671  0.8329  0.5000
Er  0.8329  0.1671  0.5000
Er  0.5000  0.5000  0.5000
Hf  0.0000  0.0000  0.0000
Zr  0.3338  0.6662  0.0000
Zr  0.6662  0.3338  0.0000
N  0.9219  0.5943  0.7652
N  0.7508  0.7508  0.2349
N  0.0781  0.4057  0.2348
N  0.5943  0.9219  0.7652
N  0.2492  0.2492  0.7651
N  0.4057  0.0781  0.2348

E_tot (eV/atom): -9.35
Volume (Å³ per atom): 12.98
Total moment (μB per formula unit): 0.00
DOS(E_F) (states/eV/f.u.): 3.1
Formation energy without anion corrections (eV per atom): -1.788

---

Entry 2:
This record from Alexandria via LeMat-Bulk describes ZnTe3 after structural relaxation. The functional is PBE-GGA.

Cell: 6.7306 6.7306 4.3739 Å, 108.97 108.97 37.91°
Sites, in units of the cell vectors:
Te  0.5000  0.5000  0.5000
Te  0.7582  0.7582  0.7582
Te  0.2418  0.2418  0.2418
Zn  0.0000  0.0000  0.0000

E_tot (eV/atom): -2.69
Volume (Å³ per atom): 28.58
Total moment (μB per formula unit): 0.00
DOS(E_F) (states/eV/f.u.): 1.1
Formation energy without anion corrections (eV per atom): -0.017

---

Entry 3:
This record from Alexandria via LeMat-Bulk describes SmDy2HoAs4 after structural relaxation. The functional is PBE-GGA.

Cell: 4.1403 7.1672 7.1667 Å, 70.53 90.00 90.00°
Sites, in units of the cell vectors:
Sm  0.5000  0.5000  0.0000
Dy  0.0000  0.0000  0.0000
Dy  0.5000  0.0000  0.5000
Ho  0.0000  0.5000  0.5000
As  0.0000  0.7535  0.7456
As  0.0000  0.2465  0.2544
As  0.5000  0.7512  0.2527
As  0.5000  0.2488  0.7473

E_tot (eV/atom): -6.17
Energy of formation from the pure elements (meV/atom): -1529
Volume (Å³ per atom): 25.06
Total moment (μB per formula unit): 0.00
DOS(E_F) (states/eV/f.u.): 0.9

---

Entry 4:
This record from Alexandria via LeMat-Bulk describes Zr2TaRe after structural relaxation. The functional is PBE-GGA.

Cell: 9.3374 9.3374 9.3374 Å, 19.39 19.39 19.39°
Sites, in units of the cell vectors:
Re  0.2500  0.2500  0.2500
Ta  0.7500  0.7500  0.7500
Zr  0.9938  0.9938  0.9938
Zr  0.5062  0.5062  0.5062

E_tot (eV/atom): -10.15
Energy of formation from the pure elements (meV/atom): 197
Volume (Å³ per atom): 19.61
Total moment (μB per formula unit): 0.00
Relative energy among the computed polymorphs (eV per atom): 0.3297
DOS(E_F) (states/eV/f.u.): 4.3

---

Entry 5:
This record from Alexandria via LeMat-Bulk describes AlZnIrPd2 after structural relaxation. The functional is PBE-GGA.

Cell: 4.4718 4.4667 4.4718 Å, 90.00 90.00 90.00°
Sites, in units of the cell vectors:
Zn  0.0000  0.0000  0.0000
Ir  0.5000  0.5000  0.5000
Al  0.0000  0.5000  0.0000
Pd  0.0000  0.0000  0.5000
Pd  0.5000  0.0000  0.0000

E_tot (eV/atom): -4.04
Energy of formation from the pure elements (meV/atom): 815
Volume (Å³ per atom): 17.86
Total moment (μB per formula unit): 0.00
DOS(E_F) (states/eV/f.u.): 2.8

---

Entry 6:
This record from Alexandria via LeMat-Bulk describes Ce2DyHoSb4 after structural relaxation. The functional is PBE-GGA.

Cell: 4.4380 7.6814 7.6905 Å, 70.52 90.00 90.00°
Last column: magnetic moment on the atom in μB.
Sites, in units of the cell vectors:
Ce  0.0000  0.0000  0.0000  0.74
Ce  0.5000  0.0000  0.5000  0.73
Dy  0.5000  0.5000  0.0000  -0.01
Ho  0.0000  0.5000  0.5000  -0.01
Sb  0.0000  0.7433  0.7517  -0.02
Sb  0.0000  0.2567  0.2483  -0.02
Sb  0.5000  0.7429  0.2529  -0.02
Sb  0.5000  0.2571  0.7471  -0.02

E_tot (eV/atom): -5.78
Volume (Å³ per atom): 30.90
Total moment (μB per formula unit): 1.55
DOS(E_F) (states/eV/f.u.): 13.4
Formation energy without anion corrections (eV per atom): -1.085

---

Among the records above, which one has the lowest volume? Er3HfZr2N6

---

Look up the E_tot of the sixth one. -5.78 eV/atom